1.
BaNaRu: optimized geometry, PBE-GGA.

```
data_BaNaRu
_symmetry_space_group_name_H-M 'C 1 m 1'
_symmetry_Int_Tables_number 8
_cell_length_a 7.208
_cell_length_b 4.365
_cell_length_c 14.847
_cell_angle_alpha 90.00
_cell_angle_beta 99.36
_cell_angle_gamma 90.00
loop_
_symmetry_equiv_pos_as_xyz
'x,y,z'
'x,-y,z'
'x+1/2,y+1/2,z'
'x+1/2,-y+1/2,z'
loop_
_atom_site_label
_atom_site_fract_x
_atom_site_fract_y
_atom_site_fract_z
_atom_site_occupancy
Ba1 0.000 0.000 0.000 1
Ba2 0.108 0.000 0.319 1
Na1 0.032 0.500 0.565 1
Na2 0.251 0.000 0.755 1
Ru1 0.236 0.500 0.160 1
Ru2 0.372 0.000 0.159 1
```

ΔE to the lowest computed polymorph = 0.000 eV per atom
VASP energy = -48.24 eV per cell
DFT formation energy = 0.153 eV per atom

---

2.
BaNaRu: optimized geometry, PBE-GGA.

```
data_BaNaRu
_symmetry_space_group_name_H-M 'P 1 2/m 1'
_symmetry_Int_Tables_number 10
_cell_length_a 3.361
_cell_length_b 5.431
_cell_length_c 5.126
_cell_angle_alpha 90.00
_cell_angle_beta 100.31
_cell_angle_gamma 90.00
loop_
_symmetry_equiv_pos_as_xyz
'x,y,z'
'-x,-y,-z'
'-x,y,-z'
'x,-y,z'
loop_
_atom_site_label
_atom_site_fract_x
_atom_site_fract_y
_atom_site_fract_z
_atom_site_occupancy
Ba1 0.000 0.000 0.000 1
Na1 0.000 0.500 0.500 1
Ru1 0.500 0.000 0.500 1
```

ΔE to the lowest computed polymorph = 0.577 eV per atom
VASP energy = -10.33 eV per cell
DFT formation energy = 0.730 eV per atom

---

3.
BaNaRu: optimized geometry, PBE-GGA.

```
data_BaNaRu
_symmetry_space_group_name_H-M 'P 1'
_symmetry_Int_Tables_number 1
_cell_length_a 4.108
_cell_length_b 4.111
_cell_length_c 15.374
_cell_angle_alpha 82.63
_cell_angle_beta 82.34
_cell_angle_gamma 60.03
loop_
_symmetry_equiv_pos_as_xyz
'x,y,z'
loop_
_atom_site_label
_atom_site_fract_x
_atom_site_fract_y
_atom_site_fract_z
_atom_site_occupancy
Ba1 0.000 0.000 0.000 1
Ba2 0.450 0.440 0.659 1
Na1 0.590 0.586 0.235 1
Na2 0.855 0.861 0.425 1
Ru1 0.381 0.377 0.859 1
Ru2 0.728 0.723 0.822 1
```

ΔE to the lowest computed polymorph = 0.050 eV per atom
VASP energy = -23.82 eV per cell
DFT formation energy = 0.203 eV per atom

---

4.
BaNaRu2: optimized geometry, PBE-GGA.

```
data_BaNaRu2
_symmetry_space_group_name_H-M 'F m -3 m'
_symmetry_Int_Tables_number 225
_symmetry_space_group_name_Hall '-F 4 2 3'
_cell_length_a 7.029
_cell_length_b 7.029
_cell_length_c 7.029
_cell_angle_alpha 90.00
_cell_angle_beta 90.00
_cell_angle_gamma 90.00
loop_
_atom_site_label
_atom_site_fract_x
_atom_site_fract_y
_atom_site_fract_z
_atom_site_occupancy
Ba1 0.000 0.000 0.000 1
Na1 0.000 0.000 0.500 1
Ru1 0.250 0.250 0.250 1
```

ΔE to the lowest computed polymorph = 0.000 eV per atom
VASP energy = -67.68 eV per cell
DFT formation energy = 1.218 eV per atom

---

5.
BaNaRu: optimized geometry, PBE-GGA.

```
data_BaNaRu
_symmetry_space_group_name_H-M 'C 1 2/m 1'
_symmetry_Int_Tables_number 12
_cell_length_a 7.227
_cell_length_b 4.170
_cell_length_c 15.077
_cell_angle_alpha 90.00
_cell_angle_beta 99.48
_cell_angle_gamma 90.00
loop_
_symmetry_equiv_pos_as_xyz
'x,y,z'
'-x,-y,-z'
'-x,y,-z'
'x,-y,z'
'x+1/2,y+1/2,z'
'-x+1/2,-y+1/2,-z'
'-x+1/2,y+1/2,-z'
'x+1/2,-y+1/2,z'
loop_
_atom_site_label
_atom_site_fract_x
_atom_site_fract_y
_atom_site_fract_z
_atom_site_occupancy
Ba1 0.055 0.000 0.163 1
Na1 0.196 0.000 0.597 1
Ru1 0.172 0.500 0.016 1
```

ΔE to the lowest computed polymorph = 0.004 eV per atom
VASP energy = -48.19 eV per cell
DFT formation energy = 0.156 eV per atom

---

6.
BaNaRu: optimized geometry, PBE-GGA.

```
data_BaNaRu
_symmetry_space_group_name_H-M 'R 3 m'
_symmetry_Int_Tables_number 160
_symmetry_space_group_name_Hall 'R 3 -2"'
_cell_length_a 4.1107
_cell_length_b 4.1107
_cell_length_c 45.5237
_cell_angle_alpha 90.00
_cell_angle_beta 90.00
_cell_angle_gamma 120.00
loop_
_atom_site_label
_atom_site_fract_x
_atom_site_fract_y
_atom_site_fract_z
_atom_site_occupancy
Ba1 0.0000 0.0000 0.0000 1
Ba2 0.0000 0.0000 0.2193 1
Na1 0.0000 0.0000 0.4749 1
Na2 0.0000 0.0000 0.7451 1
Ru1 0.0000 0.0000 0.2863 1
Ru2 0.0000 0.0000 0.6071 1
```

ΔE to the lowest computed polymorph = 0.049 eV per atom
VASP energy = -71.47 eV per cell
DFT formation energy = 0.202 eV per atom

---

7.
BaNaRu2: optimized geometry, PBE-GGA.

```
data_BaNaRu2
_symmetry_space_group_name_H-M 'I -4 2 d'
_symmetry_Int_Tables_number 122
_symmetry_space_group_name_Hall 'I -4 2bw'
_cell_length_a 8.403
_cell_length_b 8.403
_cell_length_c 5.271
_cell_angle_alpha 90.00
_cell_angle_beta 90.00
_cell_angle_gamma 90.00
loop_
_atom_site_label
_atom_site_fract_x
_atom_site_fract_y
_atom_site_fract_z
_atom_site_occupancy
Ba1 0.000 0.000 0.000 1
Na1 0.000 0.000 0.500 1
Ru1 0.229 0.250 0.625 1
```

ΔE to the lowest computed polymorph = 0.008 eV per atom
VASP energy = -67.55 eV per cell
DFT formation energy = 1.227 eV per atom

---

8.
Ba3NaRu: optimized geometry, PBE-GGA.

```
data_Ba3NaRu
_symmetry_space_group_name_H-M 'P m -3 m'
_symmetry_Int_Tables_number 221
_symmetry_space_group_name_Hall '-P 4 2 3'
_cell_length_a 6.083
_cell_length_b 6.083
_cell_length_c 6.083
_cell_angle_alpha 90.00
_cell_angle_beta 90.00
_cell_angle_gamma 90.00
loop_
_atom_site_label
_atom_site_fract_x
_atom_site_fract_y
_atom_site_fract_z
_atom_site_occupancy
Ba1 0.000 0.000 0.500 1
Na1 0.500 0.500 0.500 1
Ru1 0.000 0.000 0.000 1
```

ΔE to the lowest computed polymorph = 0.000 eV per atom
VASP energy = -15.45 eV per cell
DFT formation energy = 0.182 eV per atom

---

9.
Ba6Na2Ru: optimized geometry, PBE-GGA.

```
data_Ba6Na2Ru
_symmetry_space_group_name_H-M 'P 1 21/c 1'
_symmetry_Int_Tables_number 14
_cell_length_a 8.259
_cell_length_b 11.531
_cell_length_c 12.285
_cell_angle_alpha 90.00
_cell_angle_beta 125.02
_cell_angle_gamma 90.00
loop_
_symmetry_equiv_pos_as_xyz
'x,y,z'
'-x,-y,-z'
'-x,y+1/2,-z+1/2'
'x,-y+1/2,z+1/2'
loop_
_atom_site_label
_atom_site_fract_x
_atom_site_fract_y
_atom_site_fract_z
_atom_site_occupancy
Ba1 0.169 0.137 0.478 1
Ba2 0.281 0.727 0.945 1
Ba3 0.304 0.033 0.205 1
Na1 0.241 0.065 0.835 1
Ru1 0.500 0.000 0.500 1
```

VASP energy = -45.70 eV per cell
DFT formation energy = 0.067 eV per atom

---

10.
BaNa2ScRu: optimized geometry, PBE-GGA.

```
data_BaNa2ScRu
_symmetry_space_group_name_H-M 'P 4/m m m'
_symmetry_Int_Tables_number 123
_symmetry_space_group_name_Hall '-P 4 2'
_cell_length_a 5.487
_cell_length_b 5.487
_cell_length_c 5.574
_cell_angle_alpha 90.00
_cell_angle_beta 90.00
_cell_angle_gamma 90.00
loop_
_atom_site_label
_atom_site_fract_x
_atom_site_fract_y
_atom_site_fract_z
_atom_site_occupancy
Ba1 0.000 0.000 0.000 1
Na1 0.000 0.500 0.000 1
Sc1 0.000 0.000 0.500 1
Ru1 0.500 0.500 0.500 1
```

VASP energy = -10.91 eV per cell
DFT formation energy = 1.851 eV per atom

---

11.
Ba2NaSrRu: optimized geometry, PBE-GGA.

```
data_Ba2NaSrRu
_symmetry_space_group_name_H-M 'P 4/m m m'
_symmetry_Int_Tables_number 123
_symmetry_space_group_name_Hall '-P 4 2'
_cell_length_a 5.977
_cell_length_b 5.977
_cell_length_c 6.080
_cell_angle_alpha 90.00
_cell_angle_beta 90.00
_cell_angle_gamma 90.00
loop_
_atom_site_label
_atom_site_fract_x
_atom_site_fract_y
_atom_site_fract_z
_atom_site_occupancy
Ba1 0.000 0.500 0.000 1
Na1 0.000 0.000 0.500 1
Sr1 0.500 0.500 0.500 1
Ru1 0.500 0.500 0.000 1
```

VASP energy = -15.20 eV per cell
DFT formation energy = 0.184 eV per atom

---

12.
BaNaY2Ru: optimized geometry, PBE-GGA.

```
data_BaNaY2Ru
_symmetry_space_group_name_H-M 'P 4/m m m'
_symmetry_Int_Tables_number 123
_symmetry_space_group_name_Hall '-P 4 2'
_cell_length_a 5.426
_cell_length_b 5.426
_cell_length_c 6.175
_cell_angle_alpha 90.00
_cell_angle_beta 90.00
_cell_angle_gamma 90.00
loop_
_atom_site_label
_atom_site_fract_x
_atom_site_fract_y
_atom_site_fract_z
_atom_site_occupancy
Ba1 0.000 0.000 0.000 1
Na1 0.500 0.500 0.000 1
Y1 0.000 0.500 0.500 1
Ru1 0.000 0.000 0.500 1
```

VASP energy = -25.08 eV per cell
DFT formation energy = 0.074 eV per atom